! Ag2HgAs2 GGA-PBE relaxed; values from VASP
&SYSTEM
  ibrav = 0, nat = 10, ntyp = 3
/
ATOMIC_SPECIES
Ag 107.87 Ag.upf
As 74.92 As.upf
Hg 200.59 Hg.upf
CELL_PARAMETERS angstrom
8.557 0.000 0.000
0.000 8.557 0.000
0.000 0.000 2.836
ATOMIC_POSITIONS crystal
Ag 0.844 0.656 0.000
As 0.860 0.360 0.500
Ag 0.344 0.844 0.000
Hg 0.000 0.000 0.000
Hg 0.500 0.500 0.000
As 0.140 0.640 0.500
As 0.360 0.140 0.500
Ag 0.156 0.344 0.000
As 0.640 0.860 0.500
Ag 0.656 0.156 0.000
! SG: P4/mbm
! theoretical density: 9.1 g cm⁻³
! total moment: 0.0 μB/f.u.
! energy of formation from the pure elements: 0.97 eV/f.u.
! DOS(E_F): 2.978 states/eV per cell
! total energy: -2.87 eV/atom

***

! AgHgAs2 GGA-PBE relaxed; values from VASP
&SYSTEM
  ibrav = 0, nat = 4, ntyp = 3
/
ATOMIC_SPECIES
Hg 200.59 Hg.upf
As 74.92 As.upf
Ag 107.87 Ag.upf
CELL_PARAMETERS angstrom
6.647 0.072 -0.025
4.181 5.168 0.025
-5.233 -2.996 2.800
ATOMIC_POSITIONS crystal
Hg 0.552 0.552 0.000
As 0.768 0.268 0.500
As 0.915 0.915 0.000
Ag 0.266 0.766 0.500
! SG: Imm2
! theoretical density: 8.0 g cm⁻³
! total moment: 0.0 μB/f.u.
! energy of formation from the pure elements: 0.76 eV/f.u.
! DOS(E_F): 1.486 states/eV per cell
! total energy: -2.92 eV/atom

***

! AgHgAs2 GGA-PBE relaxed; values from VASP
&SYSTEM
  ibrav = 0, nat = 4, ntyp = 3
/
ATOMIC_SPECIES
Ag 107.87 Ag.upf
As 74.92 As.upf
Hg 200.59 Hg.upf
CELL_PARAMETERS angstrom
5.763 -0.093 0.000
2.972 4.938 0.000
-4.367 -2.423 2.877
ATOMIC_POSITIONS crystal
Ag 0.750 0.250 0.500
As 0.500 0.500 0.000
As 0.000 0.000 0.000
Hg 0.250 0.750 0.500
! SG: I4/mmm
! theoretical density: 9.2 g cm⁻³
! total moment: 0.0 μB/f.u.
! energy of formation from the pure elements: 1.25 eV/f.u.
! DOS(E_F): 1.608 states/eV per cell
! total energy: -2.80 eV/atom

***

! Ag2HgAs GGA-PBE relaxed; values from VASP
&SYSTEM
  ibrav = 0, nat = 4, ntyp = 3
/
ATOMIC_SPECIES
Ag 107.87 Ag.upf
Hg 200.59 Hg.upf
As 74.92 As.upf
CELL_PARAMETERS angstrom
4.137 0.000 0.000
0.000 3.196 0.036
0.000 3.072 6.060
ATOMIC_POSITIONS crystal
Ag 0.000 0.990 0.008
Hg 0.500 0.730 0.767
Ag 0.500 0.236 0.264
As 0.000 0.544 0.460
! SG: Pm
! theoretical density: 10.2 g cm⁻³
! total moment: 0.0 μB/f.u.
! energy of formation from the pure elements: 0.60 eV/f.u.
! DOS(E_F): 2.104 states/eV per cell
! total energy: -2.51 eV/atom